Here is crystalline Rb2MoI6O18 at its relaxed geometry from the Alexandria database. Energies are from PBE+U.

Summary:
VASP energy = -4.6728 eV per atom
space group = R-3

Unit cell a=7.8633 b=7.8633 c=7.8633 alpha=97.29 beta=97.29 gamma=97.29
Closest atoms and distances in Å follow each position.
Atoms (fractional coordinates):
Rb: 0.1698 0.1698 0.1698  9 O 3.06-3.15
Rb: 0.8302 0.8302 0.8302  9 O 3.06-3.15
Mo: 0.5000 0.5000 0.5000  6 O 2.06
I: 0.1295 0.7044 0.3329  3 O 1.82-1.89
I: 0.2956 0.6671 0.8705  3 O 1.82-1.89
I: 0.3329 0.1295 0.7044  3 O 1.82-1.89
I: 0.6671 0.8705 0.2956  3 O 1.82-1.89
I: 0.7044 0.3329 0.1295  3 O 1.82-1.89
I: 0.8705 0.2956 0.6671  3 O 1.82-1.89
O: 0.0919 0.6912 0.0978  1 I 1.82
O: 0.0978 0.0919 0.6912  1 I 1.82
O: 0.0976 0.6066 0.7141  1 I 1.83
O: 0.2859 0.9024 0.3934  1 I 1.83
O: 0.2935 0.5474 0.3326  1 I 1.89, 1 Mo 2.06
O: 0.3088 0.9022 0.9081  1 I 1.82
O: 0.3326 0.2935 0.5474  1 I 1.89, 1 Mo 2.06
O: 0.3934 0.2859 0.9024  1 I 1.83
O: 0.4526 0.6674 0.7065  1 I 1.89, 1 Mo 2.06
O: 0.5474 0.3326 0.2935  1 I 1.89, 1 Mo 2.06
O: 0.6066 0.7141 0.0976  1 I 1.83
O: 0.6674 0.7065 0.4526  1 I 1.89, 1 Mo 2.06
O: 0.6912 0.0978 0.0919  1 I 1.82
O: 0.7065 0.4526 0.6674  1 I 1.89, 1 Mo 2.06
O: 0.7141 0.0976 0.6066  1 I 1.83
O: 0.9024 0.3934 0.2859  1 I 1.83
O: 0.9022 0.9081 0.3088  1 I 1.82
O: 0.9081 0.3088 0.9022  1 I 1.82